No. 1
Crystalline AlCo3H3 at its relaxed geometry. Source: Alexandria via LeMat-Bulk, functional GGA-PBE.

```
14
Lattice="4.770 0.000 0.000 0.000 4.770 0.000 0.000 0.000 4.770" Properties=species:S:1:pos:R:3 pbc="T T T"
Al 0.000 0.000 0.000
Al 2.385 2.385 2.385
Co 0.000 1.192 2.385
Co 0.000 3.577 2.385
Co 1.192 2.385 0.000
Co 2.385 0.000 1.192
Co 2.385 0.000 3.577
Co 3.577 2.385 0.000
H 0.000 2.385 1.192
H 0.000 2.385 3.577
H 1.192 0.000 2.385
H 2.385 1.192 0.000
H 2.385 3.577 0.000
H 3.577 0.000 2.385
```

Output
* space-group type: Pm-3n
* uncorrected energy: -5.07 eV per atom
* mass density: 6.33 g/cm3
* D(E_F): 13.20 states/eV per cell


No. 2
Crystalline AlCo2H at its relaxed geometry. Source: Alexandria via LeMat-Bulk, functional GGA-PBE.

```
4
Lattice="1.331 0.768 6.002 -1.331 0.768 6.002 0.000 -1.537 6.002" Properties=species:S:1:pos:R:3 pbc="T T T"
Al 0.000 0.000 0.000
Co 0.000 0.000 4.034
Co 0.000 0.000 13.973
H 0.000 0.000 9.004
```

Output
* ΔE to the lowest computed polymorph: 0.000 eV per atom
* space-group type: R-3m
* uncorrected energy: -5.49 eV per atom
* mass density: 6.58 g/cm3
* D(E_F): 2.09 states/eV per cell


No. 3
Crystalline Al3CoH at its relaxed geometry. Source: Alexandria via LeMat-Bulk, functional GGA-PBE.

```
5
Lattice="4.444 0.000 0.000 0.000 4.444 0.000 0.000 0.000 4.444" Properties=species:S:1:pos:R:3 pbc="T T T"
Al 0.000 0.000 2.222
Al 0.000 2.222 0.000
Al 2.222 0.000 0.000
Co 0.000 0.000 0.000
H 2.222 2.222 2.222
```

Output
* ΔE to the lowest computed polymorph: 0.214 eV per atom
* space-group type: Pm-3m
* uncorrected energy: -4.08 eV per atom
* mass density: 2.67 g/cm3
* D(E_F): 2.15 states/eV per cell


No. 4
Crystalline AlCo2H at its relaxed geometry. Source: Alexandria via LeMat-Bulk, functional GGA-PBE.

```
4
Lattice="2.569 0.000 0.000 0.000 2.569 0.000 0.000 0.000 5.757" Properties=species:S:1:pos:R:3 pbc="T T T"
Al 0.000 0.000 0.000
Co 1.284 1.284 1.737
Co 1.284 1.284 4.020
H 0.000 0.000 2.878
```

Output
* ΔE to the lowest computed polymorph: 0.278 eV per atom
* space-group type: P4/mmm
* uncorrected energy: -5.21 eV per atom
* mass density: 6.38 g/cm3
* D(E_F): 4.51 states/eV per cell


No. 5
Crystalline AlCo2H at its relaxed geometry. Source: Alexandria via LeMat-Bulk, functional GGA-PBE.

```
4
Lattice="0.000 2.716 2.716 2.716 0.000 2.716 2.716 2.716 0.000" Properties=species:S:1:pos:R:3 pbc="T T T"
Al 0.000 0.000 0.000
Co 1.358 1.358 1.358
Co 4.073 4.073 4.073
H 2.716 2.716 2.716
```

Output
* ΔE to the lowest computed polymorph: 0.542 eV per atom
* space-group type: Fm-3m
* uncorrected energy: -4.95 eV per atom
* mass density: 6.05 g/cm3
* D(E_F): 5.17 states/eV per cell


No. 6
Crystalline HfAlCo2H at its relaxed geometry. Source: Alexandria via LeMat-Bulk, functional GGA-PBE.

```
10
Lattice="1.508 -5.581 0.000 1.508 5.581 0.000 0.000 0.000 6.996" Properties=species:S:1:pos:R:3 pbc="T T T"
Hf 1.508 5.374 5.247
Hf 1.508 -5.374 1.749
Al 1.508 2.773 1.749
Al 1.508 -2.773 5.247
Co 1.508 1.559 3.833
Co 1.508 1.559 6.660
Co 1.508 -1.559 0.336
Co 1.508 -1.559 3.162
H 1.508 0.000 0.000
H 1.508 0.000 3.498
```

Output
* ΔE to the lowest computed polymorph: 0.000 eV per atom
* space-group type: Cmcm
* uncorrected energy: -6.60 eV per atom
* mass density: 9.15 g/cm3
* D(E_F): 5.24 states/eV per cell